# 1
Compound: FeW2Cl
Source: Alexandria
Functional: PBE
Structure: relaxed

CIF file:
```
data_FeW2Cl
_space_group_name_H-M_alt 'I m m m'
_space_group_IT_number 71
_space_group_name_Hall '-I 2 2'
_cell_length_a 2.921
_cell_length_b 4.551
_cell_length_c 9.172
_cell_angle_alpha 90.00
_cell_angle_beta 90.00
_cell_angle_gamma 90.00
loop_
_atom_site_label
_atom_site_type_symbol
_atom_site_fract_x
_atom_site_fract_y
_atom_site_fract_z
_atom_site_occupancy
Fe1 Fe 0.000 0.000 0.000 1
W1 W 0.000 0.500 0.232 1
Cl1 Cl 0.000 0.000 0.500 1
```

Calculated values
As for the formation energy from raw total energies: 868 meV/atom. The total DFT energy (no corrections) comes out at -8.186 eV per atom.

# 2
Compound: FeWCl2
Source: Alexandria
Functional: PBE
Structure: relaxed

CIF file:
```
data_FeWCl2
_space_group_name_H-M_alt 'P 1 m 1'
_space_group_IT_number 6
_cell_length_a 3.115
_cell_length_b 2.990
_cell_length_c 8.454
_cell_angle_alpha 90.00
_cell_angle_beta 90.51
_cell_angle_gamma 90.00
loop_
_space_group_symop_operation_xyz
'x,y,z'
'x,-y,z'
loop_
_atom_site_label
_atom_site_type_symbol
_atom_site_fract_x
_atom_site_fract_y
_atom_site_fract_z
_atom_site_occupancy
Fe1 Fe 0.000 0.000 0.000 1
W1 W 0.505 0.500 0.171 1
Cl1 Cl 0.510 0.000 0.393 1
Cl2 Cl 0.994 0.500 0.795 1
```

Calculated values
As for the formation energy from raw total energies: -109 meV/atom. The total DFT energy (no corrections) comes out at -6.386 eV per atom.